{"formula": "TePd5", "functional": "PBE", "state": "optimized geometry", "lattice_angstrom": [[-3.147, -2.423, 1.052], [2.244, -3.350, -1.006], [0.891, 1.403, 5.900]], "species": ["Te", "Pd", "Pd", "Pd", "Pd", "Pd"], "fractional_positions": [[0.000, 0.000, 0.000], [0.500, 0.834, 0.667], [0.000, 0.667, 0.335], [0.500, 0.500, 0.000], [0.000, 0.333, 0.665], [0.500, 0.166, 0.333]], "n_ef_per_ev_atom": 0.77, "polymorph_energy_ev_per_atom": 0.021, "crystal_system": "orthorhombic", "e_form_raw_kj_per_mol_atoms": -16}